Record 1
Material: La9Er2Tm
Method: DFT, PBE-GGA
State: optimized geometry

```
La9Er2Tm
1.0
5.189 0.000 0.000
0.000 5.189 0.000
0.000 0.000 15.564
La Er Tm
9 2 1
Direct
0.000 0.000 0.000
0.000 0.000 0.333
0.000 0.000 0.667
0.000 0.500 0.167
0.000 0.500 0.500
0.000 0.500 0.833
0.500 0.000 0.167
0.500 0.000 0.500
0.500 0.000 0.833
0.500 0.500 0.333
0.500 0.500 0.667
0.500 0.500 0.000
```

Calculated values
- energy of formation (eV/atom) = 0.007

***

Record 2
Material: NpUCoRu
Method: DFT, PBE-GGA
State: optimized geometry

```
NpUCoRu
1.0
6.346 0.000 0.000
0.000 6.346 0.000
0.000 0.000 6.346
Np U Co Ru
4 4 4 4
Direct
0.000 0.000 0.000
0.000 0.500 0.500
0.500 0.000 0.500
0.500 0.500 0.000
0.250 0.250 0.750
0.250 0.750 0.250
0.750 0.250 0.250
0.750 0.750 0.750
0.250 0.250 0.250
0.250 0.750 0.750
0.750 0.250 0.750
0.750 0.750 0.250
0.000 0.000 0.500
0.000 0.500 0.000
0.500 0.000 0.000
0.500 0.500 0.500
```

Calculated values
- energy of formation (eV/atom) = -0.228

***

Record 3
Material: Lu3Sc
Method: DFT, PBE-GGA
State: optimized geometry

```
Lu3Sc
1.0
4.828 0.000 0.000
0.000 4.828 0.000
0.000 0.000 9.653
Lu Sc
6 2
Direct
0.000 0.000 0.000
0.000 0.500 0.250
0.000 0.500 0.750
0.500 0.000 0.250
0.500 0.000 0.750
0.500 0.500 0.500
0.000 0.000 0.500
0.500 0.500 0.000
```

Calculated values
- energy of formation (eV/atom) = 0.049

***

Record 4
Material: GeAuBr4
Method: DFT, PBE-GGA
State: optimized geometry

```
GeAuBr4
1.0
4.029 -8.930 0.000
4.029 8.930 0.000
-3.985 0.000 5.336
Ge Au Br
2 2 8
Direct
0.168 0.832 0.750
0.832 0.168 0.250
0.325 0.675 0.250
0.675 0.325 0.750
0.044 0.431 0.752
0.167 0.319 0.266
0.319 0.167 0.766
0.431 0.044 0.252
0.569 0.956 0.748
0.681 0.833 0.234
0.833 0.681 0.734
0.956 0.569 0.248
```

Calculated values
- formation energy without anion corrections (eV per atom) = -0.2525

***

Record 5
Material: Fe2NiAu
Method: DFT, PBE-GGA
State: optimized geometry

```
Fe2NiAu
1.0
3.801 0.000 0.000
0.000 3.801 0.000
0.000 0.000 7.322
Fe Ni Au
4 2 2
Direct
0.000 0.000 0.000
0.000 0.500 0.250
0.500 0.000 0.750
0.500 0.500 0.500
0.000 0.000 0.500
0.500 0.500 0.000
0.000 0.500 0.750
0.500 0.000 0.250
```

Calculated values
- energy of formation (eV/atom) = 0.109

***

Record 6
Material: LaCr2BIr
Method: DFT, PBE-GGA
State: optimized geometry

```
LaCr2BIr
1.0
4.733 0.000 0.000
0.000 4.733 0.000
0.000 0.000 5.534
La Cr B Ir
1 2 1 1
Direct
0.000 0.000 0.000
0.000 0.500 0.500
0.500 0.000 0.500
0.500 0.500 0.000
0.000 0.000 0.500
```

Calculated values
- energy of formation (eV/atom) = 1.249

***

Record 7
Material: Rb2CeTh2Te6
Method: DFT, PBE-GGA
State: optimized geometry

```
Rb2CeTh2Te6
1.0
3.928 -6.826 0.000
3.928 6.826 0.000
-2.604 0.000 8.842
Rb Ce Th Te
2 1 2 6
Direct
0.165 0.835 0.000
0.835 0.165 0.000
0.000 0.000 0.500
0.333 0.667 0.500
0.667 0.333 0.500
0.069 0.407 0.704
0.274 0.274 0.296
0.407 0.069 0.704
0.593 0.931 0.296
0.726 0.726 0.704
0.931 0.593 0.296
```

Calculated values
- formation energy without anion corrections (eV per atom) = -1.2463

***

Record 8
Material: Cs2HgBiPd
Method: DFT, PBE-GGA
State: optimized geometry

```
Cs2HgBiPd
1.0
6.901 0.000 0.000
0.000 6.901 0.000
0.000 0.000 5.210
Cs Hg Bi Pd
2 1 1 1
Direct
0.000 0.500 0.000
0.500 0.000 0.000
0.000 0.000 0.500
0.500 0.500 0.500
0.500 0.500 0.000
```

Calculated values
- energy of formation (eV/atom) = -0.185

***

Record 9
Material: NdBOs
Method: DFT, PBE-GGA
State: optimized geometry

```
NdBOs
1.0
10.017 0.000 0.000
0.000 5.794 0.000
-1.611 0.000 4.759
Nd B Os
4 4 4
Direct
0.000 0.209 0.000
0.000 0.791 0.500
0.500 0.291 0.500
0.500 0.709 0.000
0.123 0.260 0.572
0.123 0.740 0.072
0.623 0.240 0.072
0.623 0.760 0.572
0.224 0.491 0.912
0.224 0.509 0.412
0.724 0.009 0.412
0.724 0.991 0.912
```

Calculated values
- energy of formation (eV/atom) = 0.268

***

Record 10
Material: Tm6AlIr2
Method: DFT, PBE-GGA
State: optimized geometry

```
Tm6AlIr2
1.0
-4.606 4.635 5.174
4.606 -4.635 5.174
4.606 4.635 -5.174
Tm Al Ir
12 2 4
Direct
0.042 0.240 0.802
0.180 0.287 0.467
0.180 0.713 0.893
0.334 0.026 0.693
0.334 0.641 0.307
0.439 0.240 0.198
0.561 0.760 0.802
0.666 0.359 0.693
0.666 0.974 0.307
0.820 0.287 0.107
0.820 0.713 0.533
0.958 0.760 0.198
0.000 0.000 0.000
0.500 0.500 0.000
0.135 0.635 0.500
0.322 0.000 0.322
0.678 0.000 0.678
0.865 0.365 0.500
```

Calculated values
- energy of formation (eV/atom) = -0.628

***

Record 11
Material: MnCoIr6
Method: DFT, PBE-GGA
State: optimized geometry

```
MnCoIr6
1.0
5.404 0.000 0.000
0.000 5.404 0.000
0.000 0.000 3.801
Mn Co Ir
1 1 6
Direct
0.000 0.000 0.000
0.500 0.500 0.000
0.000 0.500 0.000
0.251 0.251 0.500
0.251 0.749 0.500
0.500 0.000 0.000
0.749 0.251 0.500
0.749 0.749 0.500
```

Calculated values
- energy of formation (eV/atom) = -0.064

***

Record 12
Material: TiAlTc
Method: DFT, PBE-GGA
State: optimized geometry

```
TiAlTc
1.0
0.000 3.065 5.768
3.060 0.000 5.768
3.060 3.065 0.000
Ti Al Tc
2 2 2
Direct
0.250 0.250 0.250
0.750 0.750 0.750
0.000 0.000 0.500
0.500 0.500 0.000
0.122 0.122 0.878
0.878 0.878 0.122
```

Calculated values
- energy of formation (eV/atom) = -0.072

***

Values for electronic total energy, Ry per atom, ordered as above
-0.3544; -0.7629; -0.3619; -0.1972; -0.4694; -0.4920; -0.3693; -0.1765; -0.5358; -0.4406; -0.6427; -0.5444